{
  "formula": "YZn2SiPd4",
  "functional": "PBE",
  "state": "optimized geometry",
  "e_form_raw_mev_per_atom": -628,
  "lattice": [[4.505, 0.000, 0.000], [2.252, 3.901, 0.000], [2.252, 1.300, 7.371]],
  "species": ["Y", "Zn", "Zn", "Si", "Pd", "Pd", "Pd", "Pd"],
  "fractional_positions": [[0.000, 0.000, 0.000], [0.744, 0.744, 0.767], [0.256, 0.256, 0.233], [0.500, 0.500, 0.500], [0.394, 0.394, 0.819], [0.865, 0.865, 0.405], [0.135, 0.135, 0.595], [0.606, 0.606, 0.181]]
}


{
  "formula": "ThHN",
  "functional": "PBE",
  "state": "optimized geometry",
  "lattice": [[-1.666, 2.779, 0.809], [-1.810, -1.847, 2.618], [3.179, 1.675, 0.794]],
  "species": ["H", "Th", "N"],
  "fractional_positions": [[0.498, 0.333, 0.667], [0.504, 0.667, 0.333], [0.998, 0.000, 0.000]]
}


{
  "formula": "VTcB2",
  "functional": "PBE",
  "state": "optimized geometry",
  "formation_enthalpy_0k_mev_per_atom": -625,
  "lattice": [[-1.374, -2.498, 1.144], [2.470, -0.637, 1.576], [-0.747, 3.493, 2.583]],
  "species": ["V", "Tc", "B", "B"],
  "fractional_positions": [[0.723, 0.000, 0.985], [0.433, 0.500, 0.407], [0.150, 0.500, 0.836], [0.025, 0.000, 0.591]]
}


{
  "formula": "MgMn2Br",
  "functional": "PBE",
  "state": "optimized geometry",
  "e_form_raw_mev_per_atom": 351,
  "lattice": [[4.668, 0.000, 0.000], [0.000, 3.143, -0.266], [0.000, -0.948, 5.443]],
  "species": ["Br", "Mg", "Mn", "Mn"],
  "fractional_positions": [[0.500, 0.250, 0.250], [0.500, 0.750, 0.750], [0.000, 0.156, 0.962], [0.000, 0.344, 0.538]]
}


{
  "formula": "CaLaTeP",
  "functional": "PBE",
  "state": "optimized geometry",
  "e_form_raw_mev_per_atom": -1561,
  "lattice": [[4.381, 0.000, 0.000], [2.191, 3.794, 0.000], [2.191, 1.265, 7.241]],
  "species": ["Ca", "La", "Te", "P"],
  "fractional_positions": [[0.509, 0.509, 0.473], [0.987, 0.987, 0.038], [0.752, 0.752, 0.745], [0.252, 0.252, 0.245]]
}


{
  "formula": "KFePt",
  "functional": "PBE",
  "state": "optimized geometry",
  "formation_enthalpy_0k_mev_per_atom": 857,
  "lattice": [[4.543, 0.000, 0.000], [2.272, 3.934, 0.000], [2.272, 1.311, 3.709]],
  "species": ["Fe", "K", "Pt"],
  "fractional_positions": [[0.750, 0.750, 0.750], [0.000, 0.000, 0.000], [0.500, 0.500, 0.500]]
}


{
  "formula": "MnSb2Au",
  "functional": "PBE",
  "state": "optimized geometry",
  "e_form_raw_mev_per_atom": 465,
  "lattice": [[-0.080, -5.944, 0.660], [5.035, 0.289, 3.214], [-0.776, -2.223, 6.980]],
  "species": ["Sb", "Sb", "Sb", "Sb", "Mn", "Mn", "Au", "Au"],
  "fractional_positions": [[0.584, 0.125, 0.250], [0.166, 0.625, 0.250], [0.375, 0.416, 0.750], [0.875, 0.834, 0.750], [0.500, 0.500, 0.000], [0.250, 0.750, 0.500], [0.000, 0.000, 0.000], [0.750, 0.250, 0.500]]
}


{
  "formula": "ErAlIr",
  "functional": "PBE",
  "state": "optimized geometry",
  "formation_enthalpy_0k_mev_per_atom": -685,
  "lattice": [[7.000, -0.196, 0.000], [-2.838, 6.402, 0.000], [-2.081, -3.103, 5.627]],
  "species": ["Er", "Er", "Er", "Er", "Ir", "Ir", "Ir", "Ir", "Al", "Al", "Al", "Al"],
  "fractional_positions": [[0.625, 0.375, 0.250], [0.125, 0.375, 0.750], [0.625, 0.375, 0.750], [0.625, 0.875, 0.250], [0.071, 0.929, 0.500], [0.821, 0.179, 0.000], [0.429, 0.571, 0.500], [0.179, 0.821, 0.000], [0.124, 0.624, 0.248], [0.126, 0.126, 0.252], [0.874, 0.874, 0.748], [0.376, 0.876, 0.752]]
}


| no. | E_tot (eV/atom) |
| --- | --- |
| 1 | -5.029 |
| 2 | -7.238 |
| 3 | -8.835 |
| 4 | -5.050 |
| 5 | -5.431 |
| 6 | -4.344 |
| 7 | -4.708 |
| 8 | -6.407 |